Entry 1:
Sr20Ta8O39 | GGA-PBEsol | optimized geometry

Geometry as POSCAR:
```
Sr20Ta8O39
1.0
5.860 0.001 -0.001
-2.919 5.125 0.005
-0.029 -2.281 33.081
Sr Ta O
20 8 39
Direct
0.277 0.630 0.966
0.582 0.248 0.832
0.927 0.904 0.781
0.831 0.737 0.671
0.933 0.934 0.891
0.185 0.402 0.653
0.148 0.371 0.548
0.240 0.567 0.762
0.501 0.032 0.491
0.407 0.879 0.382
0.495 0.060 0.596
0.758 0.546 0.365
0.724 0.520 0.260
0.817 0.699 0.474
0.960 0.007 0.093
0.071 0.177 0.203
0.065 0.207 0.308
0.313 0.671 0.076
0.383 0.842 0.185
0.622 0.323 0.024
0.951 0.974 0.995
0.606 0.280 0.928
0.257 0.592 0.861
0.615 0.152 0.716
0.825 0.714 0.572
0.191 0.289 0.428
0.399 0.864 0.284
0.752 0.427 0.140
0.389 0.390 0.894
0.276 0.083 0.961
0.733 0.629 0.961
0.482 0.932 0.895
0.554 0.673 0.824
0.951 0.154 0.715
0.827 0.174 0.961
0.938 0.479 0.896
0.830 0.527 0.734
0.027 0.280 0.824
0.923 0.502 0.606
0.141 0.800 0.831
0.406 0.068 0.762
0.459 0.773 0.700
0.060 0.032 0.607
0.124 0.785 0.535
0.529 0.651 0.608
0.506 0.239 0.669
0.416 0.667 0.444
0.585 0.397 0.536
0.628 0.794 0.321
0.527 0.289 0.428
0.725 0.925 0.540
0.991 0.214 0.475
0.477 0.182 0.320
0.038 0.911 0.413
0.709 0.075 0.250
0.066 0.365 0.381
0.089 0.655 0.316
0.975 0.805 0.156
0.315 0.546 0.249
0.061 0.778 0.030
0.085 0.424 0.140
0.167 0.928 0.248
0.556 0.343 0.187
0.170 0.297 0.030
0.592 0.051 0.122
0.646 0.900 0.029
0.631 0.513 0.094
```

Calculated values
The total energy is -8.068 eV/atom. As for the uncorrected formation energy: -198.59 eV per formula unit. The value obtained for the density of states at the Fermi level is 4.7 states/eV/cell.

***

Entry 2:
SrAs2 | GGA-PBEsol | optimized geometry

Geometry as POSCAR:
```
SrAs2
1.0
4.106 0.000 0.000
-2.053 5.584 -0.017
0.000 -0.841 7.121
Sr As
2 4
Direct
0.886 0.771 0.687
0.114 0.229 0.313
0.322 0.643 0.020
0.599 0.197 0.649
0.678 0.357 0.980
0.401 0.803 0.351
```

Calculated values
The total energy is -4.691 eV/atom. For the formation enthalpy at 0 K, the calculation gives -0.67 eV per atom. The value obtained for the density of states at the Fermi level is 1.3 states/eV/cell.

***

Entry 3:
MnIn2Ir | GGA-PBEsol | optimized geometry

Geometry as POSCAR:
```
MnIn2Ir
1.0
-0.607 -1.801 -2.445
2.786 -2.374 3.019
-4.517 -1.126 1.951
In Ir Mn
2 1 1
Direct
0.745 0.491 0.745
0.255 0.509 0.255
0.000 0.000 0.500
0.500 0.000 0.000
```

Calculated values
The total energy is -6.203 eV/atom. For the formation enthalpy at 0 K, the calculation gives 0.18 eV per atom. The value obtained for the density of states at the Fermi level is 2.0 states/eV/cell.

***

Entry 4:
ZnFe4Mo | GGA-PBEsol | optimized geometry

Geometry as POSCAR:
```
ZnFe4Mo
1.0
-3.786 -2.168 -1.551
0.171 -2.422 -3.943
-0.229 -4.624 0.111
Fe Mo Zn
4 1 1
Direct
0.375 0.375 0.375
0.375 0.375 0.876
0.876 0.375 0.375
0.375 0.876 0.375
0.750 0.750 0.750
0.000 0.000 0.000
```

Calculated values
The total energy is -8.168 eV/atom. For the formation enthalpy at 0 K, the calculation gives 0.03 eV per atom. The value obtained for the density of states at the Fermi level is 6.5 states/eV/cell.

***

Entry 5:
V3Au | GGA-PBEsol | optimized geometry

Geometry as POSCAR:
```
V3Au
1.0
-3.432 0.536 3.319
-0.974 -4.698 -0.249
3.218 -0.851 3.465
V Au
6 2
Direct
0.500 0.250 0.000
0.500 0.750 0.000
0.250 0.000 0.500
0.750 0.000 0.500
0.000 0.500 0.250
0.000 0.500 0.750
0.500 0.500 0.500
0.000 0.000 0.000
```

Calculated values
The total energy is -8.290 eV/atom. For the formation enthalpy at 0 K, the calculation gives -0.08 eV per atom. The value obtained for the density of states at the Fermi level is 15.1 states/eV/cell.

***

Entry 6:
SrAlSnS2 | GGA-PBEsol | optimized geometry

Geometry as POSCAR:
```
SrAlSnS2
1.0
-2.664 3.982 1.410
-1.267 -2.441 4.500
4.277 2.043 2.313
Sr S Sn Al
1 2 1 1
Direct
0.500 0.500 0.500
0.000 0.000 0.500
0.000 0.500 0.000
0.000 0.000 0.000
0.500 0.000 0.000
```

Calculated values
The total energy is -4.057 eV/atom. As for the uncorrected formation energy: -1.33 eV per formula unit. The value obtained for the density of states at the Fermi level is 1.8 states/eV/cell.

***

Entry 7:
Ag2TeCl | GGA-PBEsol | optimized geometry

Geometry as POSCAR:
```
Ag2TeCl
1.0
3.409 0.000 0.000
0.000 3.957 0.055
0.000 -0.100 6.886
Te Ag Cl
1 2 1
Direct
0.500 0.500 0.000
0.000 0.999 0.794
0.000 0.001 0.206
0.500 0.000 0.500
```

Calculated values
The total energy is -3.165 eV/atom. As for the uncorrected formation energy: -0.50 eV per formula unit. The value obtained for the density of states at the Fermi level is 1.4 states/eV/cell.

***

Entry 8:
CoP2W | GGA-PBEsol | optimized geometry

Geometry as POSCAR:
```
CoP2W
1.0
-1.167 -1.094 2.578
1.819 -3.651 -0.727
3.307 2.704 0.859
Co P W
1 2 1
Direct
0.261 0.850 0.522
0.994 0.936 0.989
0.752 0.278 0.504
0.492 0.437 0.985
```

Calculated values
The total energy is -8.560 eV/atom. For the formation enthalpy at 0 K, the calculation gives -0.28 eV per atom. The value obtained for the density of states at the Fermi level is 3.1 states/eV/cell.

***

Q: What is the formula in the second record?
A: SrAs2

***

Repeat the fifth record exactly.
V3Au | GGA-PBEsol | optimized geometry

Geometry as POSCAR:
```
V3Au
1.0
-3.432 0.536 3.319
-0.974 -4.698 -0.249
3.218 -0.851 3.465
V Au
6 2
Direct
0.500 0.250 0.000
0.500 0.750 0.000
0.250 0.000 0.500
0.750 0.000 0.500
0.000 0.500 0.250
0.000 0.500 0.750
0.500 0.500 0.500
0.000 0.000 0.000
```

Calculated values
The total energy is -8.290 eV/atom. For the formation enthalpy at 0 K, the calculation gives -0.08 eV per atom. The value obtained for the density of states at the Fermi level is 15.1 states/eV/cell.

***

Q: Number 6 is which compound?
A: SrAlSnS2